Version 1
# Cr3IO (PBE+U, optimized geometry)
data_Cr3IO
_chemical_formula_sum 'Cr3 I1 O1'
_cell_length_a 5.3435
_cell_length_b 5.3435
_cell_length_c 5.3435
_cell_angle_alpha 90.00
_cell_angle_beta 90.00
_cell_angle_gamma 90.00
_space_group_name_H-M_alt 'P 1'
_space_group_IT_number 1
loop_
_space_group_symop_operation_xyz
'x,y,z'
loop_
_atom_site_label
_atom_site_type_symbol
_atom_site_fract_x
_atom_site_fract_y
_atom_site_fract_z
I1 I 0.0000 0.0000 0.0000
Cr1 Cr 0.0000 0.5000 0.0000
Cr2 Cr 0.0000 0.0000 0.5000
Cr3 Cr 0.5000 0.0000 0.0000
O1 O 0.5000 0.5000 0.5000
# Crystal system = cubic

Version 2
# Cr3IO (PBE+U, optimized geometry)
data_Cr3IO
_chemical_formula_sum 'Cr3 I1 O1'
_cell_length_a 4.6093
_cell_length_b 4.6093
_cell_length_c 4.6093
_cell_angle_alpha 90.00
_cell_angle_beta 90.00
_cell_angle_gamma 90.00
_space_group_name_H-M_alt 'P 1'
_space_group_IT_number 1
loop_
_space_group_symop_operation_xyz
'x,y,z'
loop_
_atom_site_label
_atom_site_type_symbol
_atom_site_fract_x
_atom_site_fract_y
_atom_site_fract_z
I1 I 0.5000 0.5000 0.5000
Cr1 Cr 0.0000 0.5000 0.0000
Cr2 Cr 0.0000 0.0000 0.5000
Cr3 Cr 0.5000 0.0000 0.0000
O1 O 0.0000 0.0000 0.0000
# Crystal system = cubic

It comes down to version 2, which is 123.6 kJ/mol of atoms more stable than the next structure.

Version 1
# CrOsI2O (PBE+U, optimized geometry)
data_CrOsI2O
_chemical_formula_sum 'Cr1 Os1 I2 O1'
_cell_length_a 5.4587
_cell_length_b 5.4587
_cell_length_c 3.5443
_cell_angle_alpha 90.00
_cell_angle_beta 90.00
_cell_angle_gamma 90.00
_space_group_name_H-M_alt 'P 1'
_space_group_IT_number 1
loop_
_space_group_symop_operation_xyz
'x,y,z'
loop_
_atom_site_label
_atom_site_type_symbol
_atom_site_fract_x
_atom_site_fract_y
_atom_site_fract_z
I1 I 0.0000 0.5000 0.0000
I2 I 0.5000 0.0000 0.0000
Cr1 Cr 0.0000 0.0000 0.0000
Os1 Os 0.5000 0.5000 0.5000
O1 O 0.0000 0.0000 0.5000
# Crystal system = tetragonal

Version 2
# CrOsI2O (PBE+U, optimized geometry)
data_CrOsI2O
_chemical_formula_sum 'Cr1 Os1 I2 O1'
_cell_length_a 5.6387
_cell_length_b 5.6387
_cell_length_c 3.7577
_cell_angle_alpha 90.00
_cell_angle_beta 90.00
_cell_angle_gamma 90.00
_space_group_name_H-M_alt 'P 1'
_space_group_IT_number 1
loop_
_space_group_symop_operation_xyz
'x,y,z'
loop_
_atom_site_label
_atom_site_type_symbol
_atom_site_fract_x
_atom_site_fract_y
_atom_site_fract_z
I1 I 0.0000 0.5000 0.0000
I2 I 0.5000 0.0000 0.0000
Cr1 Cr 0.5000 0.5000 0.5000
Os1 Os 0.0000 0.0000 0.0000
O1 O 0.0000 0.0000 0.5000
# Crystal system = tetragonal

It comes down to version 2, which is 56.6 kJ/mol of atoms more stable than the next structure.

Version 1
# CrPdIO2 (PBE+U, optimized geometry)
data_CrPdIO2
_chemical_formula_sum 'Cr1 Pd1 I1 O2'
_cell_length_a 3.9422
_cell_length_b 3.9422
_cell_length_c 7.0829
_cell_angle_alpha 90.00
_cell_angle_beta 90.00
_cell_angle_gamma 90.00
_space_group_name_H-M_alt 'P 1'
_space_group_IT_number 1
loop_
_space_group_symop_operation_xyz
'x,y,z'
loop_
_atom_site_label
_atom_site_type_symbol
_atom_site_fract_x
_atom_site_fract_y
_atom_site_fract_z
I1 I 0.0000 0.0000 0.5000
Cr1 Cr 0.5000 0.5000 0.5000
O1 O 0.0000 0.5000 0.0000
O2 O 0.5000 0.0000 0.0000
Pd1 Pd 0.0000 0.0000 0.0000
# Crystal system = tetragonal

Version 2
# CrPdIO2 (PBE+U, optimized geometry)
data_CrPdIO2
_chemical_formula_sum 'Cr1 Pd1 I1 O2'
_cell_length_a 3.7495
_cell_length_b 3.7495
_cell_length_c 7.3035
_cell_angle_alpha 90.00
_cell_angle_beta 90.00
_cell_angle_gamma 90.00
_space_group_name_H-M_alt 'P 1'
_space_group_IT_number 1
loop_
_space_group_symop_operation_xyz
'x,y,z'
loop_
_atom_site_label
_atom_site_type_symbol
_atom_site_fract_x
_atom_site_fract_y
_atom_site_fract_z
I1 I 0.0000 0.0000 0.5000
Cr1 Cr 0.0000 0.0000 0.0000
O1 O 0.0000 0.5000 0.0000
O2 O 0.5000 0.0000 0.0000
Pd1 Pd 0.5000 0.5000 0.5000
# Crystal system = tetragonal

It comes down to version 2, which is 58.0 kJ/mol of atoms more stable than the next structure.

Version 1
# RbCrI2O (PBE+U, optimized geometry)
data_RbCrI2O
_chemical_formula_sum 'Rb1 Cr1 I2 O1'
_cell_length_a 6.7097
_cell_length_b 6.7097
_cell_length_c 4.4339
_cell_angle_alpha 90.00
_cell_angle_beta 90.00
_cell_angle_gamma 90.00
_space_group_name_H-M_alt 'P 1'
_space_group_IT_number 1
loop_
_space_group_symop_operation_xyz
'x,y,z'
loop_
_atom_site_label
_atom_site_type_symbol
_atom_site_fract_x
_atom_site_fract_y
_atom_site_fract_z
I1 I 0.0000 0.5000 0.0000
I2 I 0.5000 0.0000 0.0000
Cr1 Cr 0.5000 0.5000 0.5000
O1 O 0.0000 0.0000 0.5000
Rb1 Rb 0.0000 0.0000 0.0000
# Crystal system = tetragonal

Version 2
# RbCrI2O (PBE+U, optimized geometry)
data_RbCrI2O
_chemical_formula_sum 'Rb1 Cr1 I2 O1'
_cell_length_a 6.2348
_cell_length_b 6.2348
_cell_length_c 3.7720
_cell_angle_alpha 90.00
_cell_angle_beta 90.00
_cell_angle_gamma 90.00
_space_group_name_H-M_alt 'P 1'
_space_group_IT_number 1
loop_
_space_group_symop_operation_xyz
'x,y,z'
loop_
_atom_site_label
_atom_site_type_symbol
_atom_site_fract_x
_atom_site_fract_y
_atom_site_fract_z
I1 I 0.0000 0.5000 0.0000
I2 I 0.5000 0.0000 0.0000
Cr1 Cr 0.0000 0.0000 0.0000
O1 O 0.0000 0.0000 0.5000
Rb1 Rb 0.5000 0.5000 0.5000
# Crystal system = tetragonal

It comes down to version 2, which is 132.7 kJ/mol of atoms more stable than the next structure.

Version 1
# CrRhI2O (PBE+U, optimized geometry)
data_CrRhI2O
_chemical_formula_sum 'Cr1 Rh1 I2 O1'
_cell_length_a 5.6810
_cell_length_b 5.6810
_cell_length_c 3.7545
_cell_angle_alpha 90.00
_cell_angle_beta 90.00
_cell_angle_gamma 90.00
_space_group_name_H-M_alt 'P 1'
_space_group_IT_number 1
loop_
_space_group_symop_operation_xyz
'x,y,z'
loop_
_atom_site_label
_atom_site_type_symbol
_atom_site_fract_x
_atom_site_fract_y
_atom_site_fract_z
I1 I 0.0000 0.5000 0.0000
I2 I 0.5000 0.0000 0.0000
Cr1 Cr 0.5000 0.5000 0.5000
Rh1 Rh 0.0000 0.0000 0.0000
O1 O 0.0000 0.0000 0.5000
# Crystal system = tetragonal

Version 2
# CrRhI2O (PBE+U, optimized geometry)
data_CrRhI2O
_chemical_formula_sum 'Cr1 Rh1 I2 O1'
_cell_length_a 5.5146
_cell_length_b 5.5146
_cell_length_c 3.5422
_cell_angle_alpha 90.00
_cell_angle_beta 90.00
_cell_angle_gamma 90.00
_space_group_name_H-M_alt 'P 1'
_space_group_IT_number 1
loop_
_space_group_symop_operation_xyz
'x,y,z'
loop_
_atom_site_label
_atom_site_type_symbol
_atom_site_fract_x
_atom_site_fract_y
_atom_site_fract_z
I1 I 0.0000 0.5000 0.0000
I2 I 0.5000 0.0000 0.0000
Cr1 Cr 0.0000 0.0000 0.0000
Rh1 Rh 0.5000 0.5000 0.5000
O1 O 0.0000 0.0000 0.5000
# Crystal system = tetragonal

It comes down to version 1, which is 40.3 kJ/mol of atoms more stable than the next structure.

Version 1
# ScCrI2O (PBE+U, optimized geometry)
data_ScCrI2O
_chemical_formula_sum 'Sc1 Cr1 I2 O1'
_cell_length_a 5.9434
_cell_length_b 5.9434
_cell_length_c 3.8953
_cell_angle_alpha 90.00
_cell_angle_beta 90.00
_cell_angle_gamma 90.00
_space_group_name_H-M_alt 'P 1'
_space_group_IT_number 1
loop_
_space_group_symop_operation_xyz
'x,y,z'
loop_
_atom_site_label
_atom_site_type_symbol
_atom_site_fract_x
_atom_site_fract_y
_atom_site_fract_z
I1 I 0.0000 0.5000 0.0000
I2 I 0.5000 0.0000 0.0000
Cr1 Cr 0.5000 0.5000 0.5000
Sc1 Sc 0.0000 0.0000 0.0000
O1 O 0.0000 0.0000 0.5000
# Crystal system = tetragonal

Version 2
# ScCrI2O (PBE+U, optimized geometry)
data_ScCrI2O
_chemical_formula_sum 'Sc1 Cr1 I2 O1'
_cell_length_a 5.7861
_cell_length_b 5.7861
_cell_length_c 3.7329
_cell_angle_alpha 90.00
_cell_angle_beta 90.00
_cell_angle_gamma 90.00
_space_group_name_H-M_alt 'P 1'
_space_group_IT_number 1
loop_
_space_group_symop_operation_xyz
'x,y,z'
loop_
_atom_site_label
_atom_site_type_symbol
_atom_site_fract_x
_atom_site_fract_y
_atom_site_fract_z
I1 I 0.0000 0.5000 0.0000
I2 I 0.5000 0.0000 0.0000
Cr1 Cr 0.0000 0.0000 0.0000
Sc1 Sc 0.5000 0.5000 0.5000
O1 O 0.0000 0.0000 0.5000
# Crystal system = tetragonal

It comes down to version 1, which is 53.2 kJ/mol of atoms more stable than the next structure.

Version 1
# CrSeI2O (PBE+U, optimized geometry)
data_CrSeI2O
_chemical_formula_sum 'Cr1 Se1 I2 O1'
_cell_length_a 5.9163
_cell_length_b 5.9163
_cell_length_c 3.8322
_cell_angle_alpha 90.00
_cell_angle_beta 90.00
_cell_angle_gamma 90.00
_space_group_name_H-M_alt 'P 1'
_space_group_IT_number 1
loop_
_space_group_symop_operation_xyz
'x,y,z'
loop_
_atom_site_label
_atom_site_type_symbol
_atom_site_fract_x
_atom_site_fract_y
_atom_site_fract_z
I1 I 0.0000 0.5000 0.0000
I2 I 0.5000 0.0000 0.0000
Cr1 Cr 0.5000 0.5000 0.5000
O1 O 0.0000 0.0000 0.5000
Se1 Se 0.0000 0.0000 0.0000
# Crystal system = tetragonal

Version 2
# CrSeI2O (PBE+U, optimized geometry)
data_CrSeI2O
_chemical_formula_sum 'Cr1 Se1 I2 O1'
_cell_length_a 5.5919
_cell_length_b 5.5919
_cell_length_c 3.6016
_cell_angle_alpha 90.00
_cell_angle_beta 90.00
_cell_angle_gamma 90.00
_space_group_name_H-M_alt 'P 1'
_space_group_IT_number 1
loop_
_space_group_symop_operation_xyz
'x,y,z'
loop_
_atom_site_label
_atom_site_type_symbol
_atom_site_fract_x
_atom_site_fract_y
_atom_site_fract_z
I1 I 0.0000 0.5000 0.0000
I2 I 0.5000 0.0000 0.0000
Cr1 Cr 0.0000 0.0000 0.0000
O1 O 0.0000 0.0000 0.5000
Se1 Se 0.5000 0.5000 0.5000
# Crystal system = tetragonal

It comes down to version 1, which is 14.4 kJ/mol of atoms more stable than the next structure.